[1]
## CeSc4Hg5 (PBE)

Data for CeSc4Hg5 after structural relaxation.

Summary:
Formation energy from the elements   -0.40 eV/atom
M_tot   1.47 μB per formula unit
Crystal system   tetragonal
Raw total energy   -36.8 eV per cell

The structure in POSCAR format:
```
CeSc4Hg5
1.0
3.5241 0.0000 0.0000
0.0000 3.5241 0.0000
0.0000 0.0000 18.4973
Ce Sc Hg
1 4 5
direct
0.0000 0.0000 0.0000
0.0000 0.0000 0.2139
0.0000 0.0000 0.4045
0.0000 0.0000 0.5955
0.0000 0.0000 0.7861
0.5000 0.5000 0.1208
0.5000 0.5000 0.3089
0.5000 0.5000 0.5000
0.5000 0.5000 0.6911
0.5000 0.5000 0.8792
```

[2]
## CeSc5Hg3 (PBE)

Data for CeSc5Hg3 after structural relaxation.

Summary:
Formation energy from the elements   -0.27 eV/atom
M_tot   2.19 μB per formula unit
Crystal system   hexagonal
Raw total energy   -81.9 eV per cell

The structure in POSCAR format:
```
CeSc5Hg3
1.0
8.7372 0.0000 0.0000
-4.3686 7.5666 0.0000
0.0000 0.0000 6.3283
Ce Sc Hg
2 10 6
direct
0.0000 0.0000 0.0000
0.0000 0.0000 0.5000
0.0000 0.3295 0.2500
0.0000 0.6705 0.7500
0.3295 0.0000 0.2500
0.3295 0.3295 0.7500
0.3333 0.6667 0.0000
0.3333 0.6667 0.5000
0.6667 0.3333 0.0000
0.6667 0.3333 0.5000
0.6705 0.0000 0.7500
0.6705 0.6705 0.2500
0.0000 0.3471 0.7500
0.0000 0.6529 0.2500
0.3471 0.0000 0.7500
0.3471 0.3471 0.2500
0.6529 0.0000 0.2500
0.6529 0.6529 0.7500
```

[3]
## CeScHg (PBE)

Data for CeScHg after structural relaxation.

Summary:
Formation energy from the elements   -0.02 eV/atom
M_tot   1.18 μB per formula unit
E above lowest polymorph   0.199 eV per atom
Crystal system   hexagonal
Raw total energy   -12.6 eV per cell

The structure in POSCAR format:
```
CeScHg
1.0
5.1710 0.0000 0.0000
-2.5855 4.4782 0.0000
0.0000 0.0000 3.0320
Ce Sc Hg
1 1 1
direct
0.0000 0.0000 0.0000
0.6667 0.3333 0.0000
0.3333 0.6667 0.5000
```

[4]
## CeScHg6 (PBE)

Data for CeScHg6 after structural relaxation.

Summary:
Formation energy from the elements   -0.22 eV/atom
M_tot   1.32 μB per formula unit
Crystal system   tetragonal
Raw total energy   -15.9 eV per cell

The structure in POSCAR format:
```
CeScHg6
1.0
4.7218 0.0000 0.0000
0.0000 4.7218 0.0000
0.0000 0.0000 8.7780
Ce Sc Hg
1 1 6
direct
0.0000 0.0000 0.0000
0.0000 0.0000 0.5000
0.0000 0.5000 0.2641
0.0000 0.5000 0.7359
0.5000 0.0000 0.2641
0.5000 0.0000 0.7359
0.5000 0.5000 0.0000
0.5000 0.5000 0.5000
```

[5]
## CeScHg3 (PBE)

Data for CeScHg3 after structural relaxation.

Summary:
Formation energy from the elements   -0.35 eV/atom
M_tot   1.28 μB per formula unit
Crystal system   orthorhombic
Raw total energy   -29.8 eV per cell

The structure in POSCAR format:
```
CeScHg3
1.0
1.7106 -14.5097 0.0000
1.7106 14.5097 0.0000
0.0000 0.0000 4.9043
Ce Sc Hg
2 2 6
direct
0.0771 0.9229 0.7500
0.9229 0.0771 0.2500
0.2131 0.7869 0.2500
0.7869 0.2131 0.7500
0.3129 0.6871 0.2500
0.3725 0.6275 0.7500
0.4742 0.5258 0.7500
0.5258 0.4742 0.2500
0.6275 0.3725 0.2500
0.6871 0.3129 0.7500
```

[6]
## CeSc2Hg (PBE)

Data for CeSc2Hg after structural relaxation.

Summary:
Formation energy from the elements   -0.04 eV/atom
M_tot   0.00 μB per formula unit
E above lowest polymorph   0.147 eV per atom
Crystal system   cubic
Raw total energy   -19.1 eV per cell

The structure in POSCAR format:
```
CeSc2Hg
1.0
0.0000 3.5747 3.5747
3.5747 0.0000 3.5747
3.5747 3.5747 0.0000
Ce Sc Hg
1 2 1
direct
0.0000 0.0000 0.0000
0.2500 0.2500 0.2500
0.7500 0.7500 0.7500
0.5000 0.5000 0.5000
```